# CaPdAu4 PBE optimized geometry
data_CaPdAu4
_chemical_formula_sum 'Ca1 Pd1 Au4'
_cell_length_a 5.526
_cell_length_b 5.526
_cell_length_c 5.526
_cell_angle_alpha 60.00
_cell_angle_beta 60.00
_cell_angle_gamma 60.00
_space_group_name_H-M_alt 'P 1'
_space_group_IT_number 1
loop_
_space_group_symop_operation_xyz
'x,y,z'
loop_
_atom_site_label
_atom_site_type_symbol
_atom_site_fract_x
_atom_site_fract_y
_atom_site_fract_z
_atom_site_occupancy
Ca1 Ca 0.000 0.000 0.000 1
Pd1 Pd 0.250 0.250 0.250 1
Au1 Au 0.126 0.625 0.625 1
Au2 Au 0.625 0.126 0.625 1
Au3 Au 0.625 0.625 0.126 1
Au4 Au 0.625 0.625 0.625 1
# ρ = 13.00 g/cm3
# Total magnetization = 0.00 μB/f.u.
# Space group = No. 216
# E_tot = -3.803 eV per atom
# N(E_F) = 0.23 states/eV/atom


# PrHo8Bi6 PBE optimized geometry
data_PrHo8Bi6
_chemical_formula_sum 'Pr1 Ho8 Bi6'
_cell_length_a 10.748
_cell_length_b 10.748
_cell_length_c 10.748
_cell_angle_alpha 41.87
_cell_angle_beta 41.87
_cell_angle_gamma 41.87
_space_group_name_H-M_alt 'P 1'
_space_group_IT_number 1
loop_
_space_group_symop_operation_xyz
'x,y,z'
loop_
_atom_site_label
_atom_site_type_symbol
_atom_site_fract_x
_atom_site_fract_y
_atom_site_fract_z
_atom_site_occupancy
Pr1 Pr 0.000 0.000 0.000 1
Ho1 Ho 0.126 0.796 0.444 1
Ho2 Ho 0.204 0.556 0.874 1
Ho3 Ho 0.334 0.334 0.334 1
Ho4 Ho 0.444 0.126 0.796 1
Ho5 Ho 0.556 0.874 0.204 1
Ho6 Ho 0.666 0.666 0.666 1
Ho7 Ho 0.796 0.444 0.126 1
Ho8 Ho 0.874 0.204 0.556 1
Bi1 Bi 0.062 0.408 0.722 1
Bi2 Bi 0.278 0.938 0.592 1
Bi3 Bi 0.408 0.722 0.062 1
Bi4 Bi 0.592 0.278 0.938 1
Bi5 Bi 0.722 0.062 0.408 1
Bi6 Bi 0.938 0.592 0.277 1
# ρ = 9.01 g/cm3
# Total magnetization = 0.00 μB/f.u.
# Space group = No. 148
# E_tot = -4.818 eV per atom
# N(E_F) = 0.62 states/eV/atom


# Tm2CuRu3 PBE optimized geometry
data_Tm2CuRu3
_chemical_formula_sum 'Tm2 Cu1 Ru3'
_cell_length_a 5.266
_cell_length_b 5.266
_cell_length_c 5.272
_cell_angle_alpha 120.02
_cell_angle_beta 120.02
_cell_angle_gamma 60.04
_space_group_name_H-M_alt 'P 1'
_space_group_IT_number 1
loop_
_space_group_symop_operation_xyz
'x,y,z'
loop_
_atom_site_label
_atom_site_type_symbol
_atom_site_fract_x
_atom_site_fract_y
_atom_site_fract_z
_atom_site_occupancy
Tm1 Tm 0.122 0.122 0.367 1
Tm2 Tm 0.878 0.878 0.633 1
Cu1 Cu 0.500 0.500 0.500 1
Ru1 Ru 0.000 0.500 0.000 1
Ru2 Ru 0.500 0.000 0.000 1
Ru3 Ru 0.500 0.500 0.000 1
# ρ = 11.32 g/cm3
# Total magnetization = 0.25 μB/f.u.
# Space group = No. 12
# E_tot = -7.140 eV per atom
# N(E_F) = 1.00 states/eV/atom


# Ba2NaLiCu PBE optimized geometry
data_Ba2NaLiCu
_chemical_formula_sum 'Ba2 Na1 Li1 Cu1'
_cell_length_a 6.353
_cell_length_b 6.353
_cell_length_c 5.139
_cell_angle_alpha 90.00
_cell_angle_beta 90.00
_cell_angle_gamma 90.00
_space_group_name_H-M_alt 'P 1'
_space_group_IT_number 1
loop_
_space_group_symop_operation_xyz
'x,y,z'
loop_
_atom_site_label
_atom_site_type_symbol
_atom_site_fract_x
_atom_site_fract_y
_atom_site_fract_z
_atom_site_occupancy
Ba1 Ba 0.000 0.500 0.000 1
Ba2 Ba 0.500 0.000 0.000 1
Na1 Na 0.000 0.000 0.500 1
Li1 Li 0.500 0.500 0.500 1
Cu1 Cu 0.500 0.500 0.000 1
# Relative energy among the computed polymorphs = 0.00 eV/f.u.
# ρ = 2.95 g/cm3
# Total magnetization = 0.00 μB/f.u.
# Space group = No. 123
# E_tot = -2.182 eV per atom
# N(E_F) = 0.81 states/eV/atom


# ErLuIrPb PBE optimized geometry
data_ErLuIrPb
_chemical_formula_sum 'Er1 Lu1 Ir1 Pb1'
_cell_length_a 5.067
_cell_length_b 5.067
_cell_length_c 5.067
_cell_angle_alpha 60.00
_cell_angle_beta 60.00
_cell_angle_gamma 60.00
_space_group_name_H-M_alt 'P 1'
_space_group_IT_number 1
loop_
_space_group_symop_operation_xyz
'x,y,z'
loop_
_atom_site_label
_atom_site_type_symbol
_atom_site_fract_x
_atom_site_fract_y
_atom_site_fract_z
_atom_site_occupancy
Er1 Er 0.000 0.000 0.000 1
Lu1 Lu 0.500 0.500 0.500 1
Ir1 Ir 0.250 0.250 0.250 1
Pb1 Pb 0.750 0.750 0.750 1
# ρ = 13.39 g/cm3
# Total magnetization = 0.00 μB/f.u.
# Space group = No. 216
# E_tot = -5.913 eV per atom
# N(E_F) = 0.96 states/eV/atom


# CdMoRu PBE optimized geometry
data_CdMoRu
_chemical_formula_sum 'Cd1 Mo1 Ru1'
_cell_length_a 7.514
_cell_length_b 7.305
_cell_length_c 2.772
_cell_angle_alpha 83.49
_cell_angle_beta 75.01
_cell_angle_gamma 21.50
_space_group_name_H-M_alt 'P 1'
_space_group_IT_number 1
loop_
_space_group_symop_operation_xyz
'x,y,z'
loop_
_atom_site_label
_atom_site_type_symbol
_atom_site_fract_x
_atom_site_fract_y
_atom_site_fract_z
_atom_site_occupancy
Cd1 Cd 0.000 0.000 0.000 1
Mo1 Mo 0.680 0.680 0.320 1
Ru1 Ru 0.326 0.326 0.674 1
# Relative energy among the computed polymorphs = 0.83 eV/f.u.
# ρ = 10.22 g/cm3
# Total magnetization = 0.22 μB/f.u.
# Space group = No. 42
# E_tot = -6.656 eV per atom
# N(E_F) = 1.15 states/eV/atom